The following is a DFT calculation (PBE+U) of a geometry-optimized AcHfFe2O6 structure.

The structure in CIF format:
```
data_AcHfFe2O6
_cell_length_a 5.455
_cell_length_b 5.493
_cell_length_c 5.792
_cell_angle_alpha 62.83
_cell_angle_beta 62.95
_cell_angle_gamma 61.00
_space_group_name_H-M_alt 'P 1'
_space_group_IT_number 1
_space_group_name_Hall 'P 1'
loop_
_atom_site_label
_atom_site_fract_x
_atom_site_fract_y
_atom_site_fract_z
_atom_site_occupancy
Ac1 0.000 0.000 0.000 1
Hf1 0.519 0.532 0.421 1
Fe1 0.221 0.223 0.333 1
Fe2 0.725 0.736 0.793 1
O1 0.125 0.844 0.570 1
O2 0.386 0.531 0.125 1
O3 0.440 0.141 0.579 1
O4 0.541 0.932 0.106 1
O5 0.808 0.468 0.596 1
O6 0.936 0.398 0.127 1
```

Calculated values
SG = P1, No. 1
Total DFT energy (no corrections) = -79.50 eV/cell